DFT (PBE-GGA) results for a relaxed SrFePb3 crystal.

```
5
Lattice="5.2214 0.0000 0.0000 0.0000 5.2214 0.0000 0.0000 0.0000 5.2214" Properties=species:S:1:pos:R:3 pbc="T T T"
Sr 0.0000 0.0000 0.0000
Fe 2.6107 2.6107 2.6107
Pb 0.0000 2.6107 2.6107
Pb 2.6107 0.0000 2.6107
Pb 2.6107 2.6107 0.0000
```

Values from the calculation:
DFT total energy = -4.1318 eV/atom
V = 142.3 Å³ per cell
Polymorph energy (0 for the lowest one) = 0.000 eV per atom
Space-group type = Pm-3m (221)
ΔE_f = 122 meV per atom